Entry 1:
V2ReIrN after structural relaxation. Source: Alexandria via LeMat-Bulk, functional GGA-PBE.

Results
spin magnetization	0.0	μB/f.u.
uncorrected energy	-50.2	eV/cell
E_form (uncorrected)	-462	meV/atom
SG	P4/mmm, No. 123

The structure in POSCAR format:
```
V2ReIrN
1.0
-3.3697 0.7223 -1.9340
-0.8742 -3.8530 0.0842
-1.8866 0.5040 3.4755
N V Re Ir
1 2 1 1
Direct
0.0000 0.0000 0.0000
0.0000 0.5000 0.0000
0.5000 0.0000 0.0000
0.0000 0.0000 0.5000
0.5000 0.5000 0.5000
```

***

Entry 2:
Pa2P4Ru5 after structural relaxation. Source: Alexandria via LeMat-Bulk, functional GGA-PBE.

Results
spin magnetization	0.4	μB/f.u.
E_form	-731.5	kJ/mol of formula units
uncorrected energy	-94.6	eV/cell
SG	Fmmm, No. 69

The structure in POSCAR format:
```
Pa2P4Ru5
1.0
5.5133 0.0000 0.0000
2.7567 4.7555 0.0000
2.7567 0.0000 6.8799
P Ru Pa
4 5 2
Direct
0.5237 0.6898 0.2628
0.7865 0.6898 0.7372
0.4763 0.3102 0.7372
0.2135 0.3102 0.2628
0.5000 0.0000 0.0000
0.7500 0.5000 0.5000
0.2500 0.5000 0.5000
0.5000 0.5000 0.0000
0.0000 0.5000 0.0000
0.8739 0.0000 0.2522
0.1261 0.0000 0.7478
```

***

no.,Fermi-level density of states (states/eV per cell)
1,4.3
2,7.3